# 1
Tl5SnPb8, relaxed, DFT PBE-GGA; symmetry = No. 82; spin magnetization = 0.00 μB/f.u.
1.0
-4.834 4.834 4.902
4.834 -4.834 4.902
4.834 4.834 -4.902
Tl Sn Pb
5 1 8
direct
0.000 0.000 0.000 Tl
0.214 0.019 0.573 Tl
0.359 0.786 0.805 Tl
0.447 0.641 0.427 Tl
0.981 0.553 0.195 Tl
0.750 0.250 0.500 Sn
0.106 0.309 0.438 Pb
0.189 0.416 0.903 Pb
0.333 0.894 0.204 Pb
0.513 0.286 0.097 Pb
0.584 0.487 0.774 Pb
0.691 0.129 0.796 Pb
0.714 0.811 0.226 Pb
0.871 0.667 0.562 Pb

# 2
Tl4Sn2Pb3, relaxed, DFT PBE-GGA; symmetry = No. 156; energy above the lowest structure with this stoichiometry = 28.8 meV/atom; spin magnetization = 0.00 μB/f.u.
1.0
3.433 0.000 0.000
-1.717 2.973 0.000
0.000 0.000 27.228
Tl Sn Pb
4 2 3
direct
0.000 0.000 0.000 Tl
0.000 0.000 0.221 Tl
0.333 0.667 0.340 Tl
0.333 0.667 0.563 Tl
0.000 0.000 0.669 Sn
0.000 0.000 0.880 Sn
0.000 0.000 0.450 Pb
0.333 0.667 0.110 Pb
0.333 0.667 0.774 Pb

Final energy? In order: -44.44; -28.17 eV/cell.
DOS(E_F)? In order: 8.2; 5.3 states/eV per cell.